# Sm7YTm12 (PBE, optimized geometry)
# Total magnetization   0.00 μB/f.u.
# DFT total energy   -4.423 eV per atom
# Calculated volume   1965.9 Å³ per cell
data_Sm7YTm12
_space_group_name_H-M_alt 'R -3'
_space_group_IT_number 148
_space_group_name_Hall '-R 3'
_cell_length_a 11.8623
_cell_length_b 11.8623
_cell_length_c 16.1321
_cell_angle_alpha 90.00
_cell_angle_beta 90.00
_cell_angle_gamma 120.00
loop_
_atom_site_label
_atom_site_type_symbol
_atom_site_fract_x
_atom_site_fract_y
_atom_site_fract_z
Sm1 Sm 0.0000 0.0000 0.0000
Sm2 Sm 0.0532 0.8637 0.2911
Y1 Y 0.0000 0.0000 0.5000
Tm1 Tm 0.0213 0.5732 0.2205
Tm2 Tm 0.0499 0.4633 0.5835

# Ba3Ce2NdTe6 (PBE, optimized geometry)
# Total magnetization   2.82 μB/f.u.
# Energy relative to the elements, uncorrected   -1.543 eV per atom
# Calculated volume   901.4 Å³ per cell
data_Ba3Ce2NdTe6
_space_group_name_H-M_alt 'C 1 2/m 1'
_space_group_IT_number 12
_space_group_name_Hall '-C 2y'
_cell_length_a 8.107
_cell_length_b 14.030
_cell_length_c 8.371
_cell_angle_alpha 90.00
_cell_angle_beta 108.80
_cell_angle_gamma 90.00
loop_
_atom_site_label
_atom_site_type_symbol
_atom_site_fract_x
_atom_site_fract_y
_atom_site_fract_z
Ba1 Ba 0.000 0.000 0.000
Ba2 Ba 0.000 0.334 0.000
Ce1 Ce 0.000 0.167 0.500
Nd1 Nd 0.000 0.500 0.500
Te1 Te 0.242 0.000 0.725
Te2 Te 0.242 0.333 0.725

# Sr2CrAu (PBE, optimized geometry)
# Total magnetization   4.54 μB/f.u.
# DFT total energy   -3.985 eV per atom
# Calculated volume   126.6 Å³ per cell
data_Sr2CrAu
_space_group_name_H-M_alt 'P 4 m m'
_space_group_IT_number 99
_space_group_name_Hall 'P 4 -2'
_cell_length_a 3.812
_cell_length_b 3.812
_cell_length_c 8.714
_cell_angle_alpha 90.00
_cell_angle_beta 90.00
_cell_angle_gamma 90.00
loop_
_atom_site_label
_atom_site_type_symbol
_atom_site_fract_x
_atom_site_fract_y
_atom_site_fract_z
Sr1 Sr 0.000 0.000 0.000
Sr2 Sr 0.500 0.500 0.396
Cr1 Cr 0.500 0.500 0.752
Au1 Au 0.000 0.000 0.630

Question: Look up the total magnetization of the third one.
Answer: 4.54 μB/f.u.

Question: What is the calculated volume in the third record?
Answer: 126.6 Å³ per cell